Entry from OQMD: crystalline Nb2Hg2O5 at its relaxed geometry (PBE).

The structure in POSCAR format:
```
Nb2Hg2O5
1.0
3.4096 0.0000 0.0000
0.0000 3.4096 0.0000
0.0000 0.0000 10.6257
Nb Hg O
2 2 5
Cartesian
0.0000 0.0000 0.0000 Nb
0.0000 0.0000 5.3128 Nb
1.7048 1.7048 2.4582 Hg
1.7048 1.7048 8.1675 Hg
0.0000 1.7048 4.1004 O
0.0000 1.7048 6.5252 O
1.7048 0.0000 4.1004 O
1.7048 0.0000 6.5252 O
1.7048 1.7048 0.0000 O
```

Results
The value obtained for the total energy is -0.213 Ha/atom. The space group is P4/mmm (123). The density comes out at 8.966 Mg/m³. The calculation puts the size of the total moment at 2.40 μB per cell.



Entry from OQMD: crystalline Y2In4NiIr at its relaxed geometry (PBE).

The structure in POSCAR format:
```
Y2In4NiIr
1.0
7.6120 0.0000 0.0000
0.0000 2.1848 5.2091
0.0000 -2.1848 5.2091
Y In Ni Ir
2 4 1 1
Cartesian
0.0000 0.0000 0.0000 Y
3.8060 0.0000 1.4734 Y
1.5779 0.0000 7.4547 In
2.3308 0.0000 4.4931 In
5.2811 0.0000 4.4931 In
6.0341 0.0000 7.4547 In
3.8060 0.0000 8.9625 Ni
0.0000 0.0000 2.9978 Ir
```

Results
The value obtained for the total energy is -0.194 Ha/atom. The space group is Amm2 (38). The density comes out at 8.510 Mg/m³. The calculation puts the size of the total moment at 0.00 μB per cell.



Entry from OQMD: crystalline AgPbSeO at its relaxed geometry (PBE).

The structure in POSCAR format:
```
AgPbSeO
1.0
1.7571 -7.7043 0.0000
1.7571 7.7043 0.0000
0.0000 0.0000 5.8936
Ag Pb Se O
2 2 2 2
Cartesian
1.7571 5.7759 4.4202 Ag
1.7571 -5.7759 1.4734 Ag
1.7571 1.0508 4.4202 Pb
1.7571 -1.0508 1.4734 Pb
1.7571 3.8269 1.4734 Se
1.7571 -3.8269 4.4202 Se
0.0000 0.0000 0.0000 O
0.0000 0.0000 2.9468 O
```

Results
The value obtained for the total energy is -0.149 Ha/atom. The space group is Cmcm (63). The density comes out at 8.534 Mg/m³.



Entry from OQMD: crystalline Np at its relaxed geometry (PBE).

The structure in POSCAR format:
```
Np
1.0
7.1643 0.0000 0.0000
0.0000 7.1643 0.0000
0.0000 0.0000 7.1643
Np
20
Cartesian
0.0800 0.0800 0.0800 Np
0.4808 6.2688 4.8925 Np
0.8955 1.3103 3.1014 Np
1.3103 3.1014 0.8955 Np
1.7111 5.4533 1.8711 Np
1.8711 1.7111 5.4533 Np
2.2718 4.0629 4.4777 Np
2.6866 5.8540 6.6836 Np
3.1014 0.8955 1.3103 Np
3.5022 7.0843 3.6622 Np
3.6622 3.5022 7.0843 Np
4.0629 4.4777 2.2718 Np
4.4777 2.2718 4.0629 Np
4.8925 0.4808 6.2688 Np
5.2932 5.2932 5.2932 Np
5.4533 1.8711 1.7111 Np
5.8540 6.6836 2.6866 Np
6.2688 4.8925 0.4808 Np
6.6836 2.6866 5.8540 Np
7.0843 3.6622 3.5022 Np
```

Results
The value obtained for the total energy is -0.464 Ha/atom. The space group is P4_132 (213). The density comes out at 21.404 Mg/m³. The calculation puts the size of the total moment at 1.81 μB per cell. The energy of formation from the pure elements comes out at 0.137 eV per atom.